The following is a DFT calculation (GGA-PBE) of a relaxed AcPa2TlO7 crystal.

Cell and atoms, written as extended XYZ:
```
11
Lattice="-1.340 -1.405 -3.872 2.049 -3.759 0.655 -9.572 -4.365 4.896" Properties=species:S:1:pos:R:3 pbc="T T T"
O -3.138 -4.175 0.178
Pa -1.523 -3.438 -0.648
O -7.128 -5.597 4.498
O -5.724 -5.354 1.501
O -8.822 -4.421 2.234
Ac 0.000 0.000 0.000
Tl -4.786 -2.183 2.448
Pa -7.339 -6.091 2.328
O 0.355 -2.582 -1.608
O -0.395 -2.527 1.054
O -2.089 -1.350 -1.210
```

---

The following is a DFT calculation (GGA-PBE) of a relaxed AcPa2TlO8 crystal.

Cell and atoms, written as extended XYZ:
```
12
Lattice="-5.206 2.395 -1.059 0.507 -4.230 3.976 1.167 4.665 4.813" Properties=species:S:1:pos:R:3 pbc="T T T"
O -2.786 2.248 2.746
O -2.939 -0.485 3.006
O -2.717 5.343 3.275
Ac 0.583 2.332 2.407
O -0.593 3.315 4.725
O -3.758 3.243 5.562
Pa -3.116 0.929 1.386
Pa -0.416 1.900 6.345
O -0.815 -2.513 4.456
Tl 0.000 0.000 0.000
O 0.226 -0.414 2.169
O -0.746 0.582 4.985
```

---

The following is a DFT calculation (GGA-PBE) of a relaxed AcPa3Tl4O12 crystal.

Cell and atoms, written as extended XYZ:
```
20
Lattice="-4.505 -5.659 2.882 0.115 -0.478 -7.770 7.239 -0.788 2.756" Properties=species:S:1:pos:R:3 pbc="T T T"
Tl 1.425 -3.463 -1.066
O 0.269 -4.758 1.597
Pa 3.677 -0.633 -2.507
Ac 0.000 0.000 0.000
O 1.990 -0.343 -1.357
O 2.580 -2.167 -3.729
Tl 0.058 -0.239 -3.885
O 1.994 -4.702 4.112
O 0.740 -1.745 1.526
O 4.361 -2.245 -1.097
O 3.205 -3.540 1.566
Pa 1.367 -3.224 2.819
O -1.188 -1.661 -1.323
O 5.364 -0.924 -3.657
Tl -2.253 -2.829 1.441
Tl 3.619 -0.394 1.378
O -0.356 -3.385 -3.698
Pa -2.195 -3.068 -2.444
O -1.511 -4.680 -1.035
O -3.202 -4.476 -3.565
```

---

The following is a DFT calculation (GGA-PBE) of a relaxed AcTmPa2O8 crystal.

Cell and atoms, written as extended XYZ:
```
12
Lattice="-5.202 -1.643 0.879 1.359 -5.129 -1.542 3.179 2.167 5.494" Properties=species:S:1:pos:R:3 pbc="T T T"
Pa 1.308 -3.174 1.811
O 1.802 0.790 4.116
O 0.106 -2.639 3.720
O -3.286 -2.922 1.499
Pa -1.921 -3.386 -0.331
Tm 0.000 0.000 0.000
O 2.505 -1.877 3.317
O -0.596 0.026 4.522
Ac -1.972 -1.431 3.021
O -2.654 -5.287 0.785
O 0.050 -4.437 0.329
O -0.583 -2.072 1.039
```

---

The following is a DFT calculation (GGA-PBE) of a relaxed AcTmPaO6 crystal.

Cell and atoms, written as extended XYZ:
```
18
Lattice="5.258 0.000 0.000 0.000 5.258 0.000 0.000 0.000 10.931" Properties=species:S:1:pos:R:3 pbc="T T T"
O 3.669 3.669 3.422
O 4.219 1.039 8.888
Ac 0.000 0.000 0.024
O 3.711 3.711 7.448
O 1.082 4.176 1.982
O 4.346 0.913 5.510
O 1.716 1.716 0.044
Ac 2.629 2.629 5.489
O 4.176 1.082 1.982
O 1.547 1.547 7.448
O 3.542 3.542 0.044
Pa 2.629 2.629 1.836
Tm 0.000 0.000 3.639
O 1.590 1.590 3.422
O 1.039 4.219 8.888
Tm 2.629 2.629 9.104
O 0.913 4.346 5.510
Pa 0.000 0.000 7.302
```

---

The following is a DFT calculation (GGA-PBE) of a relaxed AcUPaO6 crystal.

Cell and atoms, written as extended XYZ:
```
18
Lattice="6.022 0.000 0.000 -3.011 5.215 0.000 0.000 0.000 9.492" Properties=species:S:1:pos:R:3 pbc="T T T"
O -0.761 1.739 5.927
O 1.124 5.004 8.311
Ac 0.000 3.477 2.373
O -1.885 3.686 8.311
O 1.886 0.210 1.181
O 4.896 1.528 1.181
Ac 3.011 1.738 7.119
O 3.772 3.476 3.565
Pa 0.000 0.000 4.746
O 1.125 1.528 3.565
O 4.135 0.210 3.565
O 2.250 3.476 1.181
O 0.761 1.739 8.311
U 0.000 3.477 7.119
O -1.124 5.004 5.927
U 3.011 1.738 2.373
O 1.885 3.686 5.927
Pa 0.000 0.000 0.000
```

---

no.,E (eV/atom),V (Å³ per cell),formation energy without anion corrections (eV per atom)
1,-8.5452,218,-3.075
2,-7.9325,200,-2.505
3,-7.5298,363,-2.452
4,-9.2464,166,-3.643
5,-8.5770,302,-3.263
6,-9.3427,298,-3.271